<1>
# HgSbSN2 | Alexandria | PBE-GGA | optimized geometry
# - D(E_F): 2.45 states/eV/f.u.
# - Crystal system: tetragonal
data_HgSbSN2
_cell_length_a 3.9871
_cell_length_b 3.9871
_cell_length_c 5.6634
_cell_angle_alpha 90.00
_cell_angle_beta 90.00
_cell_angle_gamma 90.00
_space_group_name_H-M_alt 'P 4/m m m'
_space_group_IT_number 123
_space_group_name_Hall '-P 4 2'
loop_
_atom_site_label
_atom_site_fract_x
_atom_site_fract_y
_atom_site_fract_z
Hg1 0.0000 0.0000 0.0000
Sb1 0.5000 0.5000 0.5000
S1 0.5000 0.5000 0.0000
N1 0.0000 0.5000 0.5000

<2>
# HgSbSN2 | Alexandria | PBE-GGA | optimized geometry
# - D(E_F): 4.10 states/eV/f.u.
# - Crystal system: tetragonal
data_HgSbSN2
_cell_length_a 4.2776
_cell_length_b 4.2776
_cell_length_c 5.1724
_cell_angle_alpha 90.00
_cell_angle_beta 90.00
_cell_angle_gamma 90.00
_space_group_name_H-M_alt 'P 4/m m m'
_space_group_IT_number 123
_space_group_name_Hall '-P 4 2'
loop_
_atom_site_label
_atom_site_fract_x
_atom_site_fract_y
_atom_site_fract_z
Hg1 0.0000 0.0000 0.0000
Sb1 0.5000 0.5000 0.5000
S1 0.0000 0.0000 0.5000
N1 0.0000 0.5000 0.0000

It is <1> that is most stable; the runner-up trails by 65.3 kJ/mol of atoms.

<1>
# ScHgSN2 | Alexandria | PBE-GGA | optimized geometry
# - D(E_F): 2.67 states/eV/f.u.
# - Crystal system: tetragonal
data_ScHgSN2
_cell_length_a 4.2425
_cell_length_b 4.2425
_cell_length_c 5.2484
_cell_angle_alpha 90.00
_cell_angle_beta 90.00
_cell_angle_gamma 90.00
_space_group_name_H-M_alt 'P 4/m m m'
_space_group_IT_number 123
_space_group_name_Hall '-P 4 2'
loop_
_atom_site_label
_atom_site_fract_x
_atom_site_fract_y
_atom_site_fract_z
Sc1 0.0000 0.0000 0.0000
Hg1 0.5000 0.5000 0.5000
S1 0.0000 0.0000 0.5000
N1 0.0000 0.5000 0.0000

<2>
# ScHgSN2 | Alexandria | PBE-GGA | optimized geometry
# - D(E_F): 3.18 states/eV/f.u.
# - Crystal system: tetragonal
data_ScHgSN2
_cell_length_a 4.1535
_cell_length_b 4.1535
_cell_length_c 5.0956
_cell_angle_alpha 90.00
_cell_angle_beta 90.00
_cell_angle_gamma 90.00
_space_group_name_H-M_alt 'P 4/m m m'
_space_group_IT_number 123
_space_group_name_Hall '-P 4 2'
loop_
_atom_site_label
_atom_site_fract_x
_atom_site_fract_y
_atom_site_fract_z
Sc1 0.0000 0.0000 0.0000
Hg1 0.5000 0.5000 0.5000
S1 0.5000 0.5000 0.0000
N1 0.0000 0.5000 0.5000

It is <1> that is most stable; the runner-up trails by 60.9 kJ/mol of atoms.

<1>
# HgSe2SN | Alexandria | PBE-GGA | optimized geometry
# - D(E_F): 4.63 states/eV/f.u.
# - Crystal system: tetragonal
data_HgSe2SN
_cell_length_a 5.3512
_cell_length_b 5.3512
_cell_length_c 4.1120
_cell_angle_alpha 90.00
_cell_angle_beta 90.00
_cell_angle_gamma 90.00
_space_group_name_H-M_alt 'P 4/m m m'
_space_group_IT_number 123
_space_group_name_Hall '-P 4 2'
loop_
_atom_site_label
_atom_site_fract_x
_atom_site_fract_y
_atom_site_fract_z
Hg1 0.0000 0.0000 0.0000
Se1 0.0000 0.5000 0.0000
S1 0.5000 0.5000 0.5000
N1 0.0000 0.0000 0.5000

<2>
# HgSe2SN | Alexandria | PBE-GGA | optimized geometry
# - D(E_F): 3.23 states/eV/f.u.
# - Crystal system: tetragonal
data_HgSe2SN
_cell_length_a 5.3638
_cell_length_b 5.3638
_cell_length_c 3.3334
_cell_angle_alpha 90.00
_cell_angle_beta 90.00
_cell_angle_gamma 90.00
_space_group_name_H-M_alt 'P 4/m m m'
_space_group_IT_number 123
_space_group_name_Hall '-P 4 2'
loop_
_atom_site_label
_atom_site_fract_x
_atom_site_fract_y
_atom_site_fract_z
Hg1 0.0000 0.0000 0.0000
Se1 0.0000 0.5000 0.5000
S1 0.5000 0.5000 0.5000
N1 0.5000 0.5000 0.0000

It is <2> that is most stable; the runner-up trails by 70.0 kJ/mol of atoms.

<1>
# SiHgS2N | Alexandria | PBE-GGA | optimized geometry
# - D(E_F): 2.88 states/eV/f.u.
# - Crystal system: tetragonal
data_SiHgS2N
_cell_length_a 4.9599
_cell_length_b 4.9599
_cell_length_c 3.3143
_cell_angle_alpha 90.00
_cell_angle_beta 90.00
_cell_angle_gamma 90.00
_space_group_name_H-M_alt 'P 4/m m m'
_space_group_IT_number 123
_space_group_name_Hall '-P 4 2'
loop_
_atom_site_label
_atom_site_fract_x
_atom_site_fract_y
_atom_site_fract_z
Si1 0.0000 0.0000 0.0000
Hg1 0.5000 0.5000 0.5000
S1 0.0000 0.5000 0.0000
N1 0.0000 0.0000 0.5000

<2>
# SiHgS2N | Alexandria | PBE-GGA | optimized geometry
# - D(E_F): 1.28 states/eV/f.u.
# - Crystal system: tetragonal
data_SiHgS2N
_cell_length_a 5.1199
_cell_length_b 5.1199
_cell_length_c 4.1019
_cell_angle_alpha 90.00
_cell_angle_beta 90.00
_cell_angle_gamma 90.00
_space_group_name_H-M_alt 'P 4/m m m'
_space_group_IT_number 123
_space_group_name_Hall '-P 4 2'
loop_
_atom_site_label
_atom_site_fract_x
_atom_site_fract_y
_atom_site_fract_z
Si1 0.0000 0.0000 0.0000
Hg1 0.5000 0.5000 0.5000
S1 0.0000 0.5000 0.5000
N1 0.5000 0.5000 0.0000

It is <1> that is most stable; the runner-up trails by 112.1 kJ/mol of atoms.